[1]
A plane-wave DFT calculation with PBE-GGA was carried out for an optimized crystal structure of Al2GaBi.

Calculated values
The calculation puts the density at 6.0 g/cm³. The calculation puts the formation energy at 0.162 eV/atom. For the excess energy over the best structure of this formula in the dataset, the calculation gives 0.0000 eV per atom. Its spin magnetization is 0.00 μB per cell. Its space-group type is R3m. The total energy comes out at -3.44 eV per atom.

a = 4.307 Å, b = 4.307 Å, c = 6.282 Å
α = 69.95°, β = 69.95°, γ = 60.00°
Positions (direct):
Ga: 0.671 0.671 0.987
Bi: 0.498 0.498 0.507
Al: 0.271 0.271 0.188
Al: 0.061 0.061 0.818

[2]
A plane-wave DFT calculation with PBE-GGA was carried out for an optimized crystal structure of AlGa2Bi.

Calculated values
The calculation puts the density at 6.6 g/cm³. The calculation puts the formation energy at 0.111 eV/atom. For the excess energy over the best structure of this formula in the dataset, the calculation gives 0.0000 eV per atom. Its spin magnetization is 0.00 μB per cell. Its space-group type is R3m. The total energy comes out at -3.31 eV per atom.

a = 4.330 Å, b = 4.330 Å, c = 6.329 Å
α = 69.99°, β = 69.99°, γ = 60.00°
Positions (direct):
Bi: 0.497 0.497 0.508
Ga: 0.270 0.270 0.191
Al: 0.671 0.671 0.988
Ga: 0.062 0.062 0.813

[3]
A plane-wave DFT calculation with PBE-GGA was carried out for an optimized crystal structure of AlGa2Bi.

Calculated values
The calculation puts the density at 6.9 g/cm³. The calculation puts the formation energy at 0.169 eV/atom. For the excess energy over the best structure of this formula in the dataset, the calculation gives 0.0576 eV per atom. Its spin magnetization is 0.00 μB per cell. Its space-group type is Fm-3m. The total energy comes out at -3.25 eV per atom.

a = 5.041 Å, b = 5.041 Å, c = 5.041 Å
α = 60.00°, β = 60.00°, γ = 60.00°
Positions (direct):
Bi: 0.500 0.500 0.500
Ga: 0.250 0.250 0.250
Ga: 0.750 0.750 0.750
Al: 0.000 0.000 0.000

[4]
A plane-wave DFT calculation with PBE-GGA was carried out for an optimized crystal structure of Al2GaBi2.

Calculated values
The calculation puts the density at 6.6 g/cm³. The calculation puts the formation energy at 0.200 eV/atom. For the excess energy over the best structure of this formula in the dataset, the calculation gives 0.0000 eV per atom. Its spin magnetization is 0.00 μB per cell. Its space-group type is I4/mmm. The total energy comes out at -3.46 eV per atom.

a = 4.250 Å, b = 4.250 Å, c = 8.128 Å
α = 74.85°, β = 74.85°, γ = 90.00°
Positions (direct):
Bi: 0.616 0.616 0.767
Bi: 0.384 0.384 0.233
Al: 0.250 0.750 0.500
Al: 0.750 0.250 0.500
Ga: 0.000 0.000 0.000

[5]
A plane-wave DFT calculation with PBE-GGA was carried out for an optimized crystal structure of AlGa3Bi.

Calculated values
The calculation puts the density at 4.4 g/cm³. The calculation puts the formation energy at 0.835 eV/atom. For the excess energy over the best structure of this formula in the dataset, the calculation gives 0.5654 eV per atom. Its spin magnetization is 0.00 μB per cell. Its space-group type is Pm-3m. The total energy comes out at -2.51 eV per atom.

a = 5.530 Å, b = 5.530 Å, c = 5.530 Å
α = 90.00°, β = 90.00°, γ = 90.00°
Positions (direct):
Ga: 0.000 0.000 0.500
Al: 0.500 0.500 0.500
Bi: 0.000 0.000 0.000
Ga: 0.500 0.000 0.000
Ga: 0.000 0.500 0.000

[6]
A plane-wave DFT calculation with PBE-GGA was carried out for an optimized crystal structure of AlGa3Bi.

Calculated values
The calculation puts the density at 5.9 g/cm³. The calculation puts the formation energy at 0.270 eV/atom. For the excess energy over the best structure of this formula in the dataset, the calculation gives 0.0000 eV per atom. Its spin magnetization is 0.00 μB per cell. Its space-group type is Pm-3m. The total energy comes out at -3.07 eV per atom.

a = 4.998 Å, b = 4.998 Å, c = 4.998 Å
α = 90.00°, β = 90.00°, γ = 90.00°
Positions (direct):
Al: 0.000 0.000 0.000
Ga: 0.000 0.500 0.000
Ga: 0.500 0.000 0.000
Bi: 0.500 0.500 0.500
Ga: 0.000 0.000 0.500